Below is a relaxed Nd2YMg crystal, with properties calculated at the PBE level.

Results
- Fermi-level density of states: 1.164 states/eV per atom
- Symmetry: Fm-3m
- Energy relative to the lowest polymorph listed for this composition: 64.6 meV per atom
- E_form: 0.031 eV/atom

Cell lengths 7.9609, 7.9609, 7.9609 Å; angles 90.00, 90.00, 90.00 degrees
Positions (direct):
Nd  0.2500  0.2500  0.2500
Nd  0.2500  0.2500  0.7500
Nd  0.2500  0.7500  0.2500
Nd  0.2500  0.7500  0.7500
Nd  0.7500  0.2500  0.2500
Nd  0.7500  0.2500  0.7500
Nd  0.7500  0.7500  0.2500
Nd  0.7500  0.7500  0.7500
Y  0.0000  0.0000  0.0000
Y  0.0000  0.5000  0.5000
Y  0.5000  0.0000  0.5000
Y  0.5000  0.5000  0.0000
Mg  0.0000  0.0000  0.5000
Mg  0.0000  0.5000  0.0000
Mg  0.5000  0.0000  0.0000
Mg  0.5000  0.5000  0.5000